CrFeSnF6: relaxed, PBE+U.

As for the size of the total moment: 0.85 μB per atom. Its total energy is -5.361 eV/atom.

It has space group P-31c (No. 163), with a = 5.5470 Å, b = 5.5470 Å, c = 10.2777 Å, α = 90.00°, β = 90.00° and γ = 120.00°. The distinct sites, in fractional coordinates, are Cr at (0.3333, 0.6667, 0.2500), Fe at (0.3333, 0.6667, 0.7500), Sn at (0.0000, 0.0000, 0.0000) and F at (0.0055, 0.3578, 0.1406).